A relaxed structure of IrOsRuRh2. Source: Alexandria, functional PBE.

## Properties
The magnetic moment comes out at 0.00 μB/cell. As for the theoretical density: 14.32 Mg/m³. The calculation puts the raw total energy at -0.6035 Ry/atom. Its density of states at the Fermi level is 7.53 states/eV per cell. Its crystal system is tetragonal.

Unit cell a=6.594 b=6.594 c=6.594 alpha=148.07 beta=148.07 gamma=45.79
Element x y z (fractional)
Ir: 0.000 0.000 0.000
Os: 0.805 0.805 0.000
Ru: 0.373 0.373 0.000
Rh: 0.156 0.656 0.500
Rh: 0.656 0.156 0.500